Material: PmMoO4
Method: DFT, PBE with a Hubbard U
State: relaxed

The value obtained for the distance to the lowest polymorph of the same formula is 0.000 eV/atom. The calculation puts the total energy at -46.521 eV per formula unit.

It has space group P2_1/c (No. 14), with a = 7.6037 Å, b = 5.4973 Å, c = 7.8006 Å, α = 90.00°, β = 99.37° and γ = 90.00°. The distinct sites, in fractional coordinates, are Pm at (0.1510, 0.2191, 0.3958), Mo at (0.3323, 0.7403, 0.1959), O at (0.1199, 0.5143, 0.1712), O at (0.1684, 0.0003, 0.1235), O at (0.3211, 0.6426, 0.9366) and O at (0.4436, 0.1177, 0.8025).